No. 1
First-principles (PBE-GGA) data for crystalline PmY2Zn at its relaxed geometry, as listed in Alexandria via LeMat-Bulk.

```
PmY2Zn
1.0
3.519 0.000 0.000
-1.759 3.047 0.000
0.000 0.000 35.498
Pm Y Zn
3 6 3
Direct
0.000 0.000 0.000
0.333 0.667 0.667
0.667 0.333 0.333
0.000 0.000 0.414
0.000 0.000 0.586
0.333 0.667 0.081
0.333 0.667 0.253
0.667 0.333 0.747
0.667 0.333 0.919
0.000 0.000 0.500
0.333 0.667 0.167
0.667 0.333 0.833
```

Results
VASP energy in eV/cell: -53.53
Volume in A^3/atom: 31.7
ΔH_f (0 K) in meV per atom: 278
Energy relative to the lowest polymorph listed for this composition in meV/atom: 447.6
Fermi-level density of states in states/eV/f.u.: 4.7

=====

No. 2
First-principles (PBE-GGA) data for crystalline K2LaPb at its relaxed geometry, as listed in Alexandria via LeMat-Bulk.

```
K2LaPb
1.0
4.053 0.000 0.000
0.000 6.945 0.000
-0.269 0.000 5.809
K La Pb
2 1 1
Direct
0.225 0.000 0.269
0.775 0.000 0.731
0.500 0.500 0.000
0.000 0.500 0.500
```

Results
VASP energy in eV/cell: -10.58
Volume in A^3/atom: 40.9
ΔH_f (0 K) in meV per atom: 62
Fermi-level density of states in states/eV/f.u.: 3.0

=====

No. 3
First-principles (PBE-GGA) data for crystalline Nd3DyTh2P6 at its relaxed geometry, as listed in Alexandria via LeMat-Bulk.

```
Nd3DyTh2P6
1.0
3.578 -6.204 0.000
3.578 6.204 0.000
-2.385 0.000 6.755
Nd Dy Th P
3 1 2 6
Direct
0.000 0.000 0.000
0.333 0.667 0.000
0.667 0.333 0.000
0.500 0.500 0.500
0.167 0.833 0.500
0.833 0.167 0.500
0.088 0.419 0.257
0.251 0.251 0.744
0.419 0.088 0.257
0.581 0.912 0.743
0.749 0.749 0.256
0.912 0.581 0.743
```

Results
VASP energy in eV/cell: -85.16
Volume in A^3/atom: 25.0
ΔH_f (0 K) in meV per atom: -1580
Fermi-level density of states in states/eV/f.u.: 2.3

=====

No. 4
First-principles (PBE-GGA) data for crystalline RbThI5 at its relaxed geometry, as listed in Alexandria via LeMat-Bulk.

```
RbThI5
1.0
7.135 -4.903 0.000
7.135 4.903 0.000
-4.982 0.000 11.388
Rb Th I
2 2 10
Direct
0.036 0.964 0.750
0.964 0.036 0.250
0.500 0.500 0.000
0.500 0.500 0.500
0.129 0.708 0.996
0.177 0.392 0.382
0.292 0.871 0.504
0.392 0.177 0.882
0.433 0.567 0.750
0.567 0.433 0.250
0.608 0.823 0.118
0.708 0.129 0.496
0.823 0.608 0.618
0.871 0.292 0.004
```

Results
Formation energy (no corrections) in kJ/mol of atoms: -123.4
VASP energy in eV/cell: -50.18
Volume in A^3/atom: 56.9
Fermi-level density of states in states/eV/f.u.: 0.0

=====

No. 5
First-principles (PBE-GGA) data for crystalline Al13Cu3Se24 at its relaxed geometry, as listed in Alexandria via LeMat-Bulk.

```
Al13Cu3Se24
1.0
6.447 -3.757 0.000
6.447 3.757 0.000
-0.208 0.000 18.117
Al Cu Se
13 3 24
Direct
0.000 0.000 0.000
0.002 0.496 0.893
0.005 0.005 0.397
0.158 0.665 0.555
0.324 0.324 0.726
0.340 0.340 0.348
0.344 0.831 0.217
0.495 0.495 0.892
0.496 0.002 0.893
0.665 0.158 0.555
0.672 0.672 0.681
0.829 0.829 0.216
0.831 0.344 0.217
0.333 0.333 0.104
0.657 0.657 0.432
0.994 0.994 0.764
0.001 0.001 0.143
0.017 0.474 0.635
0.156 0.696 0.302
0.158 0.158 0.303
0.169 0.169 0.812
0.173 0.643 0.810
0.315 0.836 0.479
0.325 0.325 0.479
0.332 0.332 0.970
0.360 0.817 0.975
0.474 0.017 0.635
0.485 0.485 0.639
0.510 0.510 0.139
0.510 0.981 0.139
0.643 0.173 0.810
0.664 0.664 0.816
0.668 0.668 0.298
0.696 0.156 0.302
0.817 0.360 0.975
0.819 0.819 0.975
0.836 0.315 0.479
0.838 0.838 0.472
0.981 0.510 0.139
0.987 0.987 0.634
```

Results
Formation energy (no corrections) in kJ/mol of atoms: -60.1
VASP energy in eV/cell: -169.50
Volume in A^3/atom: 21.9
Fermi-level density of states in states/eV/f.u.: 15.4

=====

No. 6
First-principles (PBE-GGA) data for crystalline PrDy6Er3Th2 at its relaxed geometry, as listed in Alexandria via LeMat-Bulk.

```
PrDy6Er3Th2
1.0
3.088 -5.342 0.000
3.088 5.342 0.000
-2.060 0.000 11.562
Pr Dy Er Th
1 6 3 2
Direct
0.000 0.000 0.000
0.084 0.422 0.250
0.254 0.254 0.750
0.422 0.084 0.250
0.578 0.916 0.750
0.746 0.746 0.250
0.916 0.578 0.750
0.166 0.834 0.500
0.500 0.500 0.500
0.834 0.166 0.500
0.333 0.667 0.000
0.667 0.333 0.000
```

Results
VASP energy in eV/cell: -60.49
Volume in A^3/atom: 31.8
ΔH_f (0 K) in meV per atom: 36
Fermi-level density of states in states/eV/f.u.: 17.3

=====

No. 7
First-principles (PBE-GGA) data for crystalline TaTiZnGa at its relaxed geometry, as listed in Alexandria via LeMat-Bulk.

```
TaTiZnGa
1.0
6.350 0.000 0.000
0.000 6.350 0.000
0.000 0.000 6.350
Ta Ti Zn Ga
4 4 4 4
Direct
0.000 0.000 0.000
0.000 0.500 0.500
0.500 0.000 0.500
0.500 0.500 0.000
0.000 0.000 0.500
0.000 0.500 0.000
0.500 0.000 0.000
0.500 0.500 0.500
0.250 0.250 0.750
0.250 0.750 0.250
0.750 0.250 0.250
0.750 0.750 0.750
0.250 0.250 0.250
0.250 0.750 0.750
0.750 0.250 0.750
0.750 0.750 0.250
```

Results
VASP energy in eV/cell: -96.99
Volume in A^3/atom: 16.0
ΔH_f (0 K) in meV per atom: -50
Fermi-level density of states in states/eV/f.u.: 4.7

=====

No. 8
First-principles (PBE-GGA) data for crystalline Pm3Hg2Au4 at its relaxed geometry, as listed in Alexandria via LeMat-Bulk.

```
Pm3Hg2Au4
1.0
7.466 -1.962 0.000
7.466 1.962 0.000
-5.911 0.000 7.325
Pm Hg Au
3 2 4
Direct
0.000 0.000 0.000
0.338 0.338 0.321
0.662 0.662 0.679
0.334 0.334 0.661
0.666 0.666 0.339
0.005 0.005 0.341
0.336 0.336 0.997
0.664 0.664 0.003
0.995 0.995 0.659
```

Results
VASP energy in eV/cell: -33.90
Volume in A^3/atom: 23.8
ΔH_f (0 K) in meV per atom: -659
Fermi-level density of states in states/eV/f.u.: 4.3

=====

No. 9
First-principles (PBE-GGA) data for crystalline Tb3Pm2Ga4 at its relaxed geometry, as listed in Alexandria via LeMat-Bulk.

```
Tb3Pm2Ga4
1.0
8.025 0.000 0.000
0.000 8.052 0.000
-2.123 0.000 7.232
Tb Pm Ga
6 4 8
Direct
0.000 0.000 0.000
0.000 0.500 0.500
0.262 0.174 0.748
0.262 0.326 0.248
0.738 0.674 0.752
0.738 0.826 0.252
0.310 0.683 0.926
0.310 0.817 0.426
0.690 0.183 0.574
0.690 0.317 0.074
0.008 0.622 0.120
0.008 0.878 0.620
0.419 0.030 0.133
0.419 0.470 0.633
0.581 0.530 0.367
0.581 0.970 0.867
0.992 0.122 0.380
0.992 0.378 0.880
```

Results
VASP energy in eV/cell: -81.25
Volume in A^3/atom: 26.0
ΔH_f (0 K) in meV per atom: -570
Energy relative to the lowest polymorph listed for this composition in meV/atom: 0.0
Fermi-level density of states in states/eV/f.u.: 7.7

=====

No. 10
First-principles (PBE-GGA) data for crystalline Zn3FeSn at its relaxed geometry, as listed in Alexandria via LeMat-Bulk.

```
Zn3FeSn
1.0
4.625 0.000 0.000
0.000 4.625 0.000
0.000 0.000 4.625
Zn Fe Sn
3 1 1
Direct
0.000 0.000 0.500
0.000 0.500 0.000
0.500 0.000 0.000
0.000 0.000 0.000
0.500 0.500 0.500
```

Results
VASP energy in eV/cell: -13.78
Volume in A^3/atom: 19.8
ΔH_f (0 K) in meV per atom: 501
Energy relative to the lowest polymorph listed for this composition in meV/atom: 0.0
Fermi-level density of states in states/eV/f.u.: 3.2

=====

No. 11
First-principles (PBE-GGA) data for crystalline ZnCoPd at its relaxed geometry, as listed in Alexandria via LeMat-Bulk.

```
ZnCoPd
1.0
2.737 0.000 0.000
-1.369 2.371 0.000
0.000 0.000 12.528
Zn Co Pd
2 2 2
Direct
0.000 0.000 0.159
0.000 0.000 0.841
0.333 0.667 0.000
0.333 0.667 0.500
0.667 0.333 0.332
0.667 0.333 0.668
```

Results
VASP energy in eV/cell: -27.42
Volume in A^3/atom: 13.6
ΔH_f (0 K) in meV per atom: -46
Fermi-level density of states in states/eV/f.u.: 3.0

=====

No. 12
First-principles (PBE-GGA) data for crystalline HoRhAu4 at its relaxed geometry, as listed in Alexandria via LeMat-Bulk.

```
HoRhAu4
1.0
0.000 3.864 3.864
3.864 0.000 3.864
3.864 3.864 0.000
Ho Rh Au
1 1 4
Direct
0.000 0.000 0.000
0.250 0.250 0.250
0.126 0.625 0.625
0.625 0.126 0.625
0.625 0.625 0.126
0.625 0.625 0.625
```

Results
VASP energy in eV/cell: -26.85
Volume in A^3/atom: 19.2
ΔH_f (0 K) in meV per atom: -302
Fermi-level density of states in states/eV/f.u.: 1.3

=====

No. 13
First-principles (PBE-GGA) data for crystalline Na2Sn4PdPt3 at its relaxed geometry, as listed in Alexandria via LeMat-Bulk.

```
Na2Sn4PdPt3
1.0
4.745 0.000 0.000
0.000 4.745 0.000
0.000 0.000 10.277
Na Sn Pd Pt
2 4 1 3
Direct
0.000 0.500 0.233
0.500 0.000 0.767
0.000 0.000 0.500
0.000 0.500 0.880
0.500 0.000 0.120
0.500 0.500 0.500
0.500 0.500 0.000
0.000 0.000 0.000
0.000 0.500 0.625
0.500 0.000 0.375
```

Results
VASP energy in eV/cell: -46.66
Volume in A^3/atom: 23.1
ΔH_f (0 K) in meV per atom: -469
Fermi-level density of states in states/eV/f.u.: 4.9

=====

No. 14
First-principles (PBE-GGA) data for crystalline Li2NiRu at its relaxed geometry, as listed in Alexandria via LeMat-Bulk.

```
Li2NiRu
1.0
2.525 0.000 0.000
0.000 4.263 0.000
-0.009 0.000 4.699
Li Ni Ru
2 1 1
Direct
0.000 0.000 0.000
0.499 0.500 0.846
0.501 0.000 0.488
0.000 0.500 0.359
```

Results
VASP energy in eV/cell: -18.69
Volume in A^3/atom: 12.6
ΔH_f (0 K) in meV per atom: 50
Energy relative to the lowest polymorph listed for this composition in meV/atom: 0.0
Fermi-level density of states in states/eV/f.u.: 2.6

=====

No. 15
First-principles (PBE-GGA) data for crystalline Pa3Si3Ru at its relaxed geometry, as listed in Alexandria via LeMat-Bulk.

```
Pa3Si3Ru
1.0
5.177 -2.079 0.000
5.177 2.079 0.000
-4.652 0.000 13.089
Pa Si Ru
6 6 2
Direct
0.028 0.028 0.378
0.104 0.104 0.924
0.246 0.246 0.233
0.754 0.754 0.767
0.896 0.896 0.076
0.972 0.972 0.622
0.369 0.369 0.463
0.387 0.387 0.924
0.473 0.473 0.771
0.527 0.527 0.229
0.613 0.613 0.076
0.631 0.631 0.537
0.256 0.256 0.619
0.744 0.744 0.381
```

Results
Formation energy (no corrections) in kJ/mol of atoms: -56.4
VASP energy in eV/cell: -116.25
Volume in A^3/atom: 20.1
Fermi-level density of states in states/eV/f.u.: 9.6

=====

No. 16
First-principles (PBE-GGA) data for crystalline TbAs2PtRh5 at its relaxed geometry, as listed in Alexandria via LeMat-Bulk.

```
TbAs2PtRh5
1.0
4.673 0.000 0.000
0.000 4.673 0.000
0.000 0.000 7.117
Tb As Pt Rh
1 2 1 5
Direct
0.000 0.000 0.000
0.500 0.500 0.332
0.500 0.500 0.668
0.000 0.000 0.500
0.000 0.500 0.282
0.000 0.500 0.718
0.500 0.000 0.282
0.500 0.000 0.718
0.500 0.500 0.000
```

Results
VASP energy in eV/cell: -58.65
Volume in A^3/atom: 17.3
ΔH_f (0 K) in meV per atom: -214
Fermi-level density of states in states/eV/f.u.: 10.0

=====

No. 17
First-principles (PBE-GGA) data for crystalline Tl2Ge2I5 at its relaxed geometry, as listed in Alexandria via LeMat-Bulk.

```
Tl2Ge2I5
1.0
-11.060 4.335 4.140
11.060 -4.335 4.140
11.060 4.335 -4.140
Tl Ge I
4 4 10
Direct
0.054 0.098 0.152
0.054 0.402 0.456
0.946 0.598 0.544
0.946 0.902 0.848
0.443 0.782 0.161
0.461 0.461 0.000
0.461 0.961 0.500
0.620 0.282 0.839
0.379 0.075 0.581
0.379 0.298 0.804
0.475 0.202 0.246
0.475 0.730 0.773
0.494 0.575 0.196
0.494 0.798 0.419
0.828 0.106 0.222
0.885 0.606 0.778
0.956 0.230 0.754
0.956 0.702 0.227
```

Results
Formation energy (no corrections) in kJ/mol of atoms: -26.8
VASP energy in eV/cell: -48.44
Volume in A^3/atom: 44.1
Fermi-level density of states in states/eV/f.u.: 3.4

=====

No. 18
First-principles (PBE-GGA) data for crystalline YSiN3 at its relaxed geometry, as listed in Alexandria via LeMat-Bulk.

```
YSiN3
1.0
3.671 0.000 0.000
0.000 3.671 0.000
0.000 0.000 3.671
Y Si N
1 1 3
Direct
0.000 0.000 0.000
0.500 0.500 0.500
0.000 0.500 0.500
0.500 0.000 0.500
0.500 0.500 0.000
```

Results
Formation energy (no corrections) in kJ/mol of atoms: -56.8
VASP energy in eV/cell: -39.81
Volume in A^3/atom: 9.9
Fermi-level density of states in states/eV/f.u.: 2.8

=====

No. 19
First-principles (PBE-GGA) data for crystalline Sm3BiRu at its relaxed geometry, as listed in Alexandria via LeMat-Bulk.

```
Sm3BiRu
1.0
4.521 0.000 0.000
0.000 6.935 0.000
0.000 0.000 9.429
Sm Bi Ru
6 2 2
Direct
0.250 0.004 0.146
0.250 0.250 0.594
0.250 0.496 0.146
0.750 0.504 0.854
0.750 0.750 0.406
0.750 0.996 0.854
0.250 0.750 0.642
0.750 0.250 0.358
0.250 0.250 0.896
0.750 0.750 0.104
```

Results
VASP energy in eV/cell: -59.24
Volume in A^3/atom: 29.6
ΔH_f (0 K) in meV per atom: -461
Energy relative to the lowest polymorph listed for this composition in meV/atom: 0.0
Fermi-level density of states in states/eV/f.u.: 3.9

=====

No. 20
First-principles (PBE-GGA) data for crystalline Rb3Zr2NiS6 at its relaxed geometry, as listed in Alexandria via LeMat-Bulk.

```
Rb3Zr2NiS6
1.0
3.313 -5.741 0.000
3.313 5.741 0.000
-2.197 0.000 7.582
Rb Zr Ni S
3 2 1 6
Direct
0.000 0.000 0.000
0.335 0.665 0.000
0.665 0.335 0.000
0.167 0.833 0.500
0.833 0.167 0.500
0.500 0.500 0.500
0.107 0.439 0.317
0.229 0.229 0.681
0.439 0.107 0.317
0.561 0.893 0.683
0.771 0.771 0.319
0.893 0.561 0.683
```

Results
Formation energy (no corrections) in kJ/mol of atoms: -113.1
VASP energy in eV/cell: -64.61
Volume in A^3/atom: 24.0
Fermi-level density of states in states/eV/f.u.: 6.3

=====

Number 1: density 5.081 Mg/m³. Number 2: density 4.309 Mg/m³. Number 3: density 6.893 Mg/m³. Number 4: density 3.968 Mg/m³. Number 5: density 4.610 Mg/m³. Number 6: density 9.063 Mg/m³. Number 7: density 9.441 Mg/m³. Number 8: density 12.568 Mg/m³. Number 9: density 7.431 Mg/m³. Number 10: density 6.224 Mg/m³. Number 11: density 9.426 Mg/m³. Number 12: density 15.193 Mg/m³. Number 13: density 8.701 Mg/m³. Number 14: density 5.700 Mg/m³. Number 15: density 10.355 Mg/m³. Number 16: density 10.884 Mg/m³. Number 17: density 4.972 Mg/m³. Number 18: density 5.337 Mg/m³. Number 19: density 8.550 Mg/m³. Number 20: density 3.972 Mg/m³.